Run w
# Mg2FeI, optimized geometry, DFT PBE
# * crystal system: tetragonal
# * space group: I-42d, No. 122
# * spin magnetization: 6.0 Bohr magnetons per cell
data_Mg2FeI
_cell_length_a 6.413
_cell_length_b 6.413
_cell_length_c 6.413
_cell_angle_alpha 104.93
_cell_angle_beta 104.93
_cell_angle_gamma 119.00
_symmetry_space_group_name_H-M 'P 1'
_symmetry_Int_Tables_number 1
loop_
_symmetry_equiv_pos_as_xyz
'x,y,z'
loop_
_atom_site_label
_atom_site_fract_x
_atom_site_fract_y
_atom_site_fract_z
Mg1 0.097 0.125 0.472
Mg2 0.375 0.903 0.028
Mg3 0.653 0.625 0.528
Mg4 0.875 0.347 0.972
Fe1 0.000 0.000 0.000
Fe2 0.750 0.250 0.500
I1 0.250 0.750 0.500
I2 0.500 0.500 0.000


Run x
# Mg2FeI, optimized geometry, DFT PBE
# * crystal system: cubic
# * space group: Fm-3m, No. 225
# * spin magnetization: 0.0 Bohr magnetons per cell
data_Mg2FeI
_cell_length_a 4.867
_cell_length_b 4.867
_cell_length_c 4.867
_cell_angle_alpha 60.00
_cell_angle_beta 60.00
_cell_angle_gamma 60.00
_symmetry_space_group_name_H-M 'P 1'
_symmetry_Int_Tables_number 1
loop_
_symmetry_equiv_pos_as_xyz
'x,y,z'
loop_
_atom_site_label
_atom_site_fract_x
_atom_site_fract_y
_atom_site_fract_z
Mg1 0.250 0.250 0.250
Mg2 0.750 0.750 0.750
Fe1 0.000 0.000 0.000
I1 0.500 0.500 0.500


Pick run w: it beats the second-best structure by 0.330 eV/atom.


Run w
# MgFeIN2, optimized geometry, DFT PBE
# * crystal system: tetragonal
# * space group: P4/mmm, No. 123
# * spin magnetization: 0.3 Bohr magnetons per cell
data_MgFeIN2
_cell_length_a 3.773
_cell_length_b 3.773
_cell_length_c 5.581
_cell_angle_alpha 90.00
_cell_angle_beta 90.00
_cell_angle_gamma 90.00
_symmetry_space_group_name_H-M 'P 1'
_symmetry_Int_Tables_number 1
loop_
_symmetry_equiv_pos_as_xyz
'x,y,z'
loop_
_atom_site_label
_atom_site_fract_x
_atom_site_fract_y
_atom_site_fract_z
Mg1 0.000 0.000 0.000
Fe1 0.500 0.500 0.500
I1 0.500 0.500 0.000
N1 0.000 0.500 0.500
N2 0.500 0.000 0.500


Run x
# MgFeIN2, optimized geometry, DFT PBE
# * crystal system: tetragonal
# * space group: P4/mmm, No. 123
# * spin magnetization: 2.5 Bohr magnetons per cell
data_MgFeIN2
_cell_length_a 3.906
_cell_length_b 3.906
_cell_length_c 5.631
_cell_angle_alpha 90.00
_cell_angle_beta 90.00
_cell_angle_gamma 90.00
_symmetry_space_group_name_H-M 'P 1'
_symmetry_Int_Tables_number 1
loop_
_symmetry_equiv_pos_as_xyz
'x,y,z'
loop_
_atom_site_label
_atom_site_fract_x
_atom_site_fract_y
_atom_site_fract_z
Mg1 0.000 0.000 0.000
Fe1 0.500 0.500 0.500
I1 0.000 0.000 0.500
N1 0.000 0.500 0.000
N2 0.500 0.000 0.000


Pick run w: it beats the second-best structure by 0.986 eV/atom.


Run w
# MnFeI6, optimized geometry, DFT PBE
# * crystal system: monoclinic
# * space group: C2/m, No. 12
# * spin magnetization: 8.0 Bohr magnetons per cell
data_MnFeI6
_cell_length_a 7.653
_cell_length_b 7.653
_cell_length_c 6.609
_cell_angle_alpha 93.49
_cell_angle_beta 93.49
_cell_angle_gamma 122.01
_symmetry_space_group_name_H-M 'P 1'
_symmetry_Int_Tables_number 1
loop_
_symmetry_equiv_pos_as_xyz
'x,y,z'
loop_
_atom_site_label
_atom_site_fract_x
_atom_site_fract_y
_atom_site_fract_z
Mn1 0.000 0.000 0.000
Fe1 0.000 0.000 0.500
I1 0.005 0.289 0.781
I2 0.289 0.005 0.781
I3 0.306 0.306 0.298
I4 0.694 0.694 0.702
I5 0.711 0.995 0.219
I6 0.995 0.711 0.219


Run x
# MnFeI6, optimized geometry, DFT PBE
# * crystal system: trigonal
# * space group: R-3, No. 148
# * spin magnetization: 8.2 Bohr magnetons per cell
data_MnFeI6
_cell_length_a 7.444
_cell_length_b 7.444
_cell_length_c 7.444
_cell_angle_alpha 56.91
_cell_angle_beta 56.91
_cell_angle_gamma 56.91
_symmetry_space_group_name_H-M 'P 1'
_symmetry_Int_Tables_number 1
loop_
_symmetry_equiv_pos_as_xyz
'x,y,z'
loop_
_atom_site_label
_atom_site_fract_x
_atom_site_fract_y
_atom_site_fract_z
Mn1 0.000 0.000 0.000
Fe1 0.500 0.500 0.500
I1 0.105 0.398 0.749
I2 0.251 0.895 0.602
I3 0.398 0.749 0.105
I4 0.602 0.251 0.895
I5 0.749 0.105 0.398
I6 0.895 0.602 0.251


Pick run w: it beats the second-best structure by 0.074 eV/atom.


Run w
# MnFeI3, optimized geometry, DFT PBE
# * crystal system: cubic
# * space group: Pm-3m, No. 221
# * spin magnetization: 5.6 Bohr magnetons per cell
data_MnFeI3
_cell_length_a 5.294
_cell_length_b 5.294
_cell_length_c 5.294
_cell_angle_alpha 90.00
_cell_angle_beta 90.00
_cell_angle_gamma 90.00
_symmetry_space_group_name_H-M 'P 1'
_symmetry_Int_Tables_number 1
loop_
_symmetry_equiv_pos_as_xyz
'x,y,z'
loop_
_atom_site_label
_atom_site_fract_x
_atom_site_fract_y
_atom_site_fract_z
Mn1 0.000 0.000 0.000
Fe1 0.500 0.500 0.500
I1 0.000 0.500 0.500
I2 0.500 0.000 0.500
I3 0.500 0.500 0.000


Run x
# MnFeI3, optimized geometry, DFT PBE
# * crystal system: cubic
# * space group: Pm-3m, No. 221
# * spin magnetization: 9.2 Bohr magnetons per cell
data_MnFeI3
_cell_length_a 5.599
_cell_length_b 5.599
_cell_length_c 5.599
_cell_angle_alpha 90.00
_cell_angle_beta 90.00
_cell_angle_gamma 90.00
_symmetry_space_group_name_H-M 'P 1'
_symmetry_Int_Tables_number 1
loop_
_symmetry_equiv_pos_as_xyz
'x,y,z'
loop_
_atom_site_label
_atom_site_fract_x
_atom_site_fract_y
_atom_site_fract_z
Mn1 0.000 0.000 0.000
Fe1 0.500 0.500 0.500
I1 0.000 0.000 0.500
I2 0.000 0.500 0.000
I3 0.500 0.000 0.000


Pick run x: it beats the second-best structure by 0.061 eV/atom.